{
  "formula": "Nd5Ho2Sc2",
  "functional": "PBE",
  "state": "optimized geometry",
  "cell": [[-10.203, 3.074, 4.118], [-2.871, -3.572, -4.448], [5.061, -5.488, 5.726]],
  "species": ["Nd", "Nd", "Nd", "Nd", "Nd", "Nd", "Nd", "Nd", "Nd", "Nd", "Ho", "Ho", "Ho", "Ho", "Sc", "Sc", "Sc", "Sc"],
  "frac_coords": [[0.177, 0.663, 0.820], [0.823, 0.843, 0.180], [0.253, 0.242, 0.981], [0.747, 0.261, 0.019], [0.313, 0.916, 0.236], [0.687, 0.679, 0.764], [0.424, 0.544, 0.396], [0.576, 0.149, 0.604], [0.083, 0.926, 0.549], [0.917, 0.376, 0.451], [0.000, 0.951, 0.000], [0.500, 0.582, 0.000], [0.272, 0.341, 0.555], [0.728, 0.786, 0.445], [0.082, 0.512, 0.204], [0.918, 0.308, 0.796], [0.584, 0.158, 0.224], [0.416, 0.934, 0.776]],
  "dos_ef_per_ev_fu": 12.71,
  "ef_ev_per_atom": 0.178,
  "spacegroup": "C2, No. 5",
  "e_above_lowest_polymorph_mev_per_atom": 63.0
}